1.
The following is a SCAN calculation of a crystal of Zn2RhBr relaxed with PBEsol, from Alexandria via LeMat-Bulk.

Cell and atoms, written as extended XYZ:
```
4
Lattice="3.1671 0.0000 0.0000 0.0000 4.4505 0.0000 0.0000 0.0000 4.4505" Properties=species:S:1:pos:R:3 pbc="T T T"
Br 1.5835 2.2252 2.2252
Zn 0.0000 2.2252 0.0000
Zn 0.0000 0.0000 2.2252
Rh 1.5835 0.0000 0.0000
```

Computed properties:
- Energy above the lowest structure with this stoichiometry: 29.3 kJ per mole of atoms
- Energy: -79.60 eV for the cell shown
- Space-group type: P4/mmm
- Uncorrected formation energy: 0.166 eV/atom
- Density of states at the Fermi level: 1.92 states/eV per cell
- M_tot: 0.00 μB/cell

=====

2.
The following is a SCAN calculation of a crystal of Li2BeRe relaxed with PBEsol, from Alexandria via LeMat-Bulk.

Cell and atoms, written as extended XYZ:
```
4
Lattice="2.5544 0.0000 0.0000 0.0000 2.5544 0.0000 0.0000 0.0000 8.2820" Properties=species:S:1:pos:R:3 pbc="T T T"
Be 1.2772 1.2772 6.1088
Li 0.0000 0.0000 7.9899
Li 1.2772 1.2772 2.2319
Re 0.0000 0.0000 4.3743
```

Computed properties:
- Energy: -79.61 eV for the cell shown
- Space-group type: P4mm
- Density of states at the Fermi level: 1.52 states/eV per cell
- Formation enthalpy at 0 K: 0.155 eV/atom
- M_tot: 0.00 μB/cell

=====

3.
The following is a SCAN calculation of a crystal of Ta2AsRu relaxed with PBEsol, from Alexandria via LeMat-Bulk.

Cell and atoms, written as extended XYZ:
```
4
Lattice="-0.4036 -2.8839 -1.5045 4.1505 -0.3332 -0.4747 -1.5837 -0.5409 5.0321" Properties=species:S:1:pos:R:3 pbc="T T T"
Ru 2.2166 -1.2152 1.7348
Ta 2.1576 -3.7159 2.9738
As 1.8822 -1.6732 -0.8680
Ta -0.0564 -2.5202 1.2757
```

Computed properties:
- Energy: -189.01 eV for the cell shown
- Space-group type: Imm2
- Density of states at the Fermi level: 3.77 states/eV per cell
- Formation enthalpy at 0 K: -0.207 eV/atom
- M_tot: 0.00 μB/cell

=====

4.
The following is a SCAN calculation of a crystal of Mn3AlN relaxed with PBEsol, from Alexandria via LeMat-Bulk.

Cell and atoms, written as extended XYZ:
```
5
Lattice="3.7241 0.0000 0.0000 0.0000 3.7241 0.0000 0.0000 0.0000 3.7241" Properties=species:S:1:pos:R:3 pbc="T T T"
N 0.0000 0.0000 0.0000
Mn 0.0000 0.0000 1.8621
Al 1.8621 1.8621 1.8621
Mn 1.8621 0.0000 0.0000
Mn 0.0000 1.8621 0.0000
```

Computed properties:
- Energy: -73.79 eV for the cell shown
- Space-group type: Pm-3m
- Uncorrected formation energy: -0.397 eV/atom
- Density of states at the Fermi level: 3.44 states/eV per cell
- M_tot: 3.41 μB/cell

=====

5.
The following is a SCAN calculation of a crystal of ScPdSe2Br relaxed with PBEsol, from Alexandria via LeMat-Bulk.

Cell and atoms, written as extended XYZ:
```
5
Lattice="-1.8569 1.5392 -4.4576 4.4212 -1.0987 -2.2211 -1.6332 -4.6806 -0.9358" Properties=species:S:1:pos:R:3 pbc="T T T"
Se 2.2106 -0.5493 -1.1105
Br -0.8166 -2.3403 -0.4679
Sc 0.0000 0.0000 0.0000
Pd 0.4655 -2.1200 -3.8073
Se -0.9284 0.7696 -2.2288
```

Computed properties:
- Energy: -108.20 eV for the cell shown
- Space-group type: P4/mmm
- Uncorrected formation energy: -0.314 eV/atom
- Density of states at the Fermi level: 4.93 states/eV per cell
- M_tot: 1.57 μB/cell

=====

6.
The following is a SCAN calculation of a crystal of ZnNi2Rh relaxed with PBEsol, from Alexandria via LeMat-Bulk.

Cell and atoms, written as extended XYZ:
```
4
Lattice="3.5779 0.0000 0.0000 0.0000 3.5779 0.0000 0.0000 0.0000 3.6899" Properties=species:S:1:pos:R:3 pbc="T T T"
Ni 0.0000 1.7889 0.0000
Ni 1.7889 0.0000 0.0000
Zn 0.0000 0.0000 1.8450
Rh 1.7889 1.7889 1.8450
```

Computed properties:
- Energy: -80.06 eV for the cell shown
- Space-group type: P4/mmm
- Density of states at the Fermi level: 3.44 states/eV per cell
- Formation enthalpy at 0 K: -0.106 eV/atom
- M_tot: 1.62 μB/cell

=====

7.
The following is a SCAN calculation of a crystal of Sr2CrCoN relaxed with PBEsol, from Alexandria via LeMat-Bulk.

Cell and atoms, written as extended XYZ:
```
5
Lattice="-0.2241 -1.0581 -3.3497 -1.0631 -5.0535 1.6674 -5.3102 1.1179 0.0022" Properties=species:S:1:pos:R:3 pbc="T T T"
Cr -3.2987 -2.4969 -0.8400
N 0.0000 0.0000 0.0000
Sr -0.5316 -2.5267 0.8337
Sr -2.6551 0.5589 0.0011
Co -0.1121 -0.5290 -1.6748
```

Computed properties:
- Energy: -89.76 eV for the cell shown
- Space-group type: P4/mmm
- Uncorrected formation energy: -0.046 eV/atom
- Density of states at the Fermi level: 2.31 states/eV per cell
- M_tot: 5.07 μB/cell

=====

8.
The following is a SCAN calculation of a crystal of SiP2PtS relaxed with PBEsol, from Alexandria via LeMat-Bulk.

Cell and atoms, written as extended XYZ:
```
5
Lattice="4.5164 0.0000 0.0000 0.0000 4.5164 0.0000 0.0000 0.0000 4.9484" Properties=species:S:1:pos:R:3 pbc="T T T"
Si 2.2582 2.2582 2.4742
Pt 0.0000 0.0000 0.0000
P 0.0000 2.2582 0.0000
S 0.0000 0.0000 2.4742
P 2.2582 0.0000 0.0000
```

Computed properties:
- Energy: -105.76 eV for the cell shown
- Space-group type: P4/mmm
- Uncorrected formation energy: 0.975 eV/atom
- Density of states at the Fermi level: 4.05 states/eV per cell
- M_tot: 0.00 μB/cell

=====

9.
The following is a SCAN calculation of a crystal of SrLa2Cd relaxed with PBEsol, from Alexandria via LeMat-Bulk.

Cell and atoms, written as extended XYZ:
```
4
Lattice="3.8036 0.0000 0.0000 0.0000 3.8036 0.0000 0.0000 0.0000 9.4107" Properties=species:S:1:pos:R:3 pbc="T T T"
Sr 0.0000 0.0000 5.0978
La 1.9018 1.9018 2.0711
Cd 1.9018 1.9018 7.2103
La 0.0000 0.0000 9.1476
```

Computed properties:
- Energy: -139.58 eV for the cell shown
- Space-group type: P4mm
- Density of states at the Fermi level: 4.66 states/eV per cell
- Formation enthalpy at 0 K: -0.169 eV/atom
- M_tot: 0.25 μB/cell

=====

10.
The following is a SCAN calculation of a crystal of GaSeN2O relaxed with PBEsol, from Alexandria via LeMat-Bulk.

Cell and atoms, written as extended XYZ:
```
5
Lattice="-1.8292 -2.6802 -1.7049 2.4062 -2.5741 1.4650 -2.2685 -0.3881 3.0440" Properties=species:S:1:pos:R:3 pbc="T T T"
Se 0.0000 0.0000 0.0000
Ga -0.8457 -2.8212 1.4020
N -1.1343 -0.1941 1.5220
N 1.2031 -1.2871 0.7325
O -0.9146 -1.3401 -0.8525
```

Computed properties:
- Energy: -55.78 eV for the cell shown
- Space-group type: P4/mmm
- Uncorrected formation energy: 1.092 eV/atom
- Density of states at the Fermi level: 1.44 states/eV per cell
- M_tot: 0.00 μB/cell

=====

11.
The following is a SCAN calculation of a crystal of CoPb3 relaxed with PBEsol, from Alexandria via LeMat-Bulk.

Cell and atoms, written as extended XYZ:
```
4
Lattice="-3.2298 0.4507 -0.5176 -0.6717 -1.5636 2.8298 0.3638 7.3761 4.1530" Properties=species:S:1:pos:R:3 pbc="T T T"
Pb -1.8816 0.8509 1.9502
Pb 0.1819 3.6881 2.0765
Pb -1.6561 5.4124 4.5150
Co 0.0000 0.0000 0.0000
```

Computed properties:
- Energy: -243.44 eV for the cell shown
- Space-group type: P4/mmm
- Density of states at the Fermi level: 1.77 states/eV per cell
- Formation enthalpy at 0 K: 0.302 eV/atom
- M_tot: 1.61 μB/cell

=====

12.
The following is a SCAN calculation of a crystal of Ti4H3Pd2 relaxed with PBEsol, from Alexandria via LeMat-Bulk.

Cell and atoms, written as extended XYZ:
```
9
Lattice="-0.7479 1.7191 -2.0835 -0.9775 -2.1876 -1.4541 -11.2084 1.5073 5.2671" Properties=species:S:1:pos:R:3 pbc="T T T"
H -0.8627 -0.2342 -1.7688
Ti -2.8021 0.0266 -0.8574
H -8.4447 0.7854 1.7942
H -4.4891 0.2534 -0.0647
Ti -3.8147 0.5130 1.7926
Ti -10.1316 1.0122 2.5869
Ti -7.3937 0.9943 3.4745
Pd 0.0000 0.0000 0.0000
Pd -6.4669 0.5194 0.8647
```

Computed properties:
- Energy: -143.65 eV for the cell shown
- Space-group type: P4/mmm
- Density of states at the Fermi level: 6.13 states/eV per cell
- M_tot: 0.00 μB/cell

=====

13.
The following is a SCAN calculation of a crystal of HfNiCl2 relaxed with PBEsol, from Alexandria via LeMat-Bulk.

Cell and atoms, written as extended XYZ:
```
4
Lattice="-1.5474 -2.4430 -3.2743 2.2605 -3.4682 -1.3948 -1.4778 -4.0336 0.7938" Properties=species:S:1:pos:R:3 pbc="T T T"
Hf -0.3823 -4.9725 -1.9377
Ni 0.0000 0.0000 0.0000
Cl -0.5735 -7.4587 -2.9065
Cl -0.1912 -2.4862 -0.9688
```

Computed properties:
- Energy: -95.23 eV for the cell shown
- Space-group type: Fm-3m
- Uncorrected formation energy: -0.107 eV/atom
- Density of states at the Fermi level: 3.39 states/eV per cell
- M_tot: 0.00 μB/cell

=====

14.
The following is a SCAN calculation of a crystal of InPdF2 relaxed with PBEsol, from Alexandria via LeMat-Bulk.

Cell and atoms, written as extended XYZ:
```
4
Lattice="2.9243 0.0000 0.0000 1.4622 2.5325 0.0000 1.4622 0.8442 7.9011" Properties=species:S:1:pos:R:3 pbc="T T T"
Pd 2.9243 1.6883 3.9506
In 0.0000 0.0000 0.0000
F 4.3864 2.5325 2.1637
F 1.4622 0.8442 5.7374
```

Computed properties:
- Energy: -77.31 eV for the cell shown
- Space-group type: R-3m
- Uncorrected formation energy: -1.018 eV/atom
- Density of states at the Fermi level: 1.30 states/eV per cell
- M_tot: 0.92 μB/cell

=====

15.
The following is a SCAN calculation of a crystal of V6Cu2O15 relaxed with PBEsol, from Alexandria via LeMat-Bulk.

Cell and atoms, written as extended XYZ:
```
23
Lattice="-2.8981 -2.1056 0.5916 5.1477 -2.5250 5.1918 -4.6192 7.7275 4.3448" Properties=species:S:1:pos:R:3 pbc="T T T"
O 0.6464 -2.9376 3.9110
O -3.2720 3.2495 6.3148
V -4.3885 4.7640 6.0879
V 2.0189 -1.6671 4.0403
O -3.0160 6.0345 6.2173
O -1.7689 1.6919 7.8613
O -1.5064 4.4542 8.0195
O 2.2387 -1.5189 5.6477
O 0.0000 0.0000 0.0000
O -1.5071 0.3962 4.9609
O -0.8624 2.7008 5.1673
O -3.1826 2.3711 3.7083
V 0.2488 1.1010 4.9160
O 0.8130 0.7258 6.4199
O -0.6007 1.4050 2.2670
V -2.6585 3.0063 8.3725
V 0.2889 0.0907 1.7557
O 0.9024 -0.1525 3.8134
O -0.8632 -1.3573 2.1088
Cu 0.2157 1.5046 7.9868
O -4.6083 4.6158 4.4805
V -2.6184 1.9959 5.2122
Cu -2.5853 1.5924 2.1414
```

Computed properties:
- Energy: -281.66 eV for the cell shown
- Space-group type: P-1
- Uncorrected formation energy: -2.299 eV/atom
- Density of states at the Fermi level: 3.20 states/eV per cell
- M_tot: 2.01 μB/cell

=====

16.
The following is a SCAN calculation of a crystal of NiSe2NO relaxed with PBEsol, from Alexandria via LeMat-Bulk.

Cell and atoms, written as extended XYZ:
```
5
Lattice="3.2866 0.0000 0.0000 0.0000 4.7472 0.0000 0.0000 0.0000 4.7472" Properties=species:S:1:pos:R:3 pbc="T T T"
O 1.6433 2.3736 2.3736
Se 0.0000 2.3736 0.0000
Se 0.0000 0.0000 2.3736
Ni 0.0000 0.0000 0.0000
N 1.6433 0.0000 0.0000
```

Computed properties:
- Energy: -66.33 eV for the cell shown
- Space-group type: P4/mmm
- Uncorrected formation energy: 1.104 eV/atom
- Density of states at the Fermi level: 3.45 states/eV per cell
- M_tot: 0.01 μB/cell

=====

17.
The following is a SCAN calculation of a crystal of Fe3BiPd relaxed with PBEsol, from Alexandria via LeMat-Bulk.

Cell and atoms, written as extended XYZ:
```
5
Lattice="-0.0289 -4.5443 0.6966 3.3465 -0.4985 -3.1128 3.1523 0.4875 3.3109" Properties=species:S:1:pos:R:3 pbc="T T T"
Pd 0.0000 0.0000 0.0000
Fe -0.0145 -2.2722 0.3483
Fe 1.6732 -0.2492 -1.5564
Bi 3.2350 -2.2776 0.4474
Fe 1.5762 0.2437 1.6555
```

Computed properties:
- Energy: -161.44 eV for the cell shown
- Space-group type: Pm-3m
- Density of states at the Fermi level: 5.34 states/eV per cell
- Formation enthalpy at 0 K: 0.860 eV/atom
- M_tot: 10.16 μB/cell

=====

18.
The following is a SCAN calculation of a crystal of MgNbFe2As relaxed with PBEsol, from Alexandria via LeMat-Bulk.

Cell and atoms, written as extended XYZ:
```
5
Lattice="4.5351 0.0000 0.0000 0.0000 4.5351 0.0000 0.0000 0.0000 4.9235" Properties=species:S:1:pos:R:3 pbc="T T T"
As 0.0000 0.0000 2.4618
Fe 0.0000 2.2676 0.0000
Fe 2.2676 0.0000 0.0000
Mg 2.2676 2.2676 2.4618
Nb 0.0000 0.0000 0.0000
```

Computed properties:
- Energy: -89.70 eV for the cell shown
- Space-group type: P4/mmm
- Density of states at the Fermi level: 3.63 states/eV per cell
- Formation enthalpy at 0 K: 0.971 eV/atom
- M_tot: 4.78 μB/cell

=====

19.
The following is a SCAN calculation of a crystal of AlPIr relaxed with PBEsol, from Alexandria via LeMat-Bulk.

Cell and atoms, written as extended XYZ:
```
9
Lattice="-2.7634 -1.5545 0.9441 3.4636 -5.7293 0.7045 -0.6024 4.2303 5.2018" Properties=species:S:1:pos:R:3 pbc="T T T"
Al 2.5056 -4.1447 0.5096
Al 0.7913 -0.4146 1.6335
P -0.0327 -3.0086 0.7464
Al -0.4358 3.0603 3.7631
Ir -1.3817 -0.7773 0.4721
Ir 2.1083 -2.4094 2.2036
Ir 0.7529 0.9105 3.7027
P -1.6163 0.8703 2.4980
P 0.3651 -1.6924 4.0780
```

Computed properties:
- Energy: -270.59 eV for the cell shown
- Space-group type: P-62m
- Density of states at the Fermi level: 3.42 states/eV per cell
- Formation enthalpy at 0 K: -0.315 eV/atom
- M_tot: 0.00 μB/cell

=====

20.
The following is a SCAN calculation of a crystal of ScBe2 relaxed with PBEsol, from Alexandria via LeMat-Bulk.

Cell and atoms, written as extended XYZ:
```
24
Lattice="-3.2809 3.4050 0.4958 1.1317 -2.7671 3.6968 11.0117 10.0101 4.1216" Properties=species:S:1:pos:R:3 pbc="T T T"
Be 3.8654 6.7076 2.3087
Be -0.4081 2.6221 2.0876
Sc 5.4141 7.9147 4.2668
Sc 3.4484 2.7333 4.0475
Be 4.4313 5.3240 4.1571
Sc 4.4723 4.0656 1.6740
Be 8.0875 7.1492 4.4192
Be 0.7750 3.4988 3.8950
Sc 9.9782 9.0706 3.7347
Be 8.6477 5.7794 6.2492
Sc 6.5393 5.9446 2.4476
Be -1.0746 0.3190 2.0963
Be 0.5659 -1.3836 1.8484
Be 2.2939 5.0783 3.0989
Be 6.0717 3.6215 3.9092
Be 9.2706 8.0260 6.2267
Sc 1.0335 0.9395 0.3868
Sc 7.4833 9.7958 5.0412
Be 0.2148 4.8686 2.0650
Sc 1.3792 0.8523 3.2730
Be -1.6405 1.7025 0.2479
Be 7.0236 7.4650 6.4946
Be 1.8389 3.1831 1.8196
Be 6.5686 5.5697 5.2153
```

Computed properties:
- Energy: -185.64 eV for the cell shown
- Space-group type: P6_3/mmc
- Density of states at the Fermi level: 9.72 states/eV per cell
- Formation enthalpy at 0 K: -0.087 eV/atom
- M_tot: 0.55 μB/cell